NaIn2Au2 after structural relaxation, computed with PBE-GGA.

extended XYZ file:
```
5
Lattice="3.243 -3.243 0.000 3.243 3.243 0.000 -3.243 0.000 6.021" Properties=species:S:1:pos:R:3 pbc="T T T"
In 1.621 -1.621 3.011
Au 0.000 0.000 4.673
In 1.621 1.621 3.011
Au 3.243 0.000 1.349
Na 0.000 0.000 0.000
```

As for the final energy: -2.9100 eV/atom.


Na2In4NiAu after structural relaxation, computed with PBE-GGA.

extended XYZ file:
```
8
Lattice="-4.644 3.029 -5.816 -3.512 2.103 3.899 -0.384 4.871 2.843" Properties=species:S:1:pos:R:3 pbc="T T T"
In -4.329 6.614 4.514
Ni -5.117 6.519 1.931
In -3.742 3.077 -3.019
Na -4.021 4.557 0.033
In -6.975 8.340 1.200
In -2.019 1.953 -0.861
Au -1.098 1.966 1.901
Na -2.209 3.956 3.824
```

As for the final energy: -2.9952 eV/atom. The magnetic moment is 0.00 μB per formula unit.